a:
## CaTcSeN2 (PBE)

Data for a relaxed structure of CaTcSeN2.

Unit cell a=4.384 b=4.384 c=5.906 alpha=90.00 beta=90.00 gamma=90.00
Sites, in units of the cell vectors:
N  0.500  0.000  0.000
Ca  0.000  0.000  0.000
Tc  0.500  0.500  0.500
Se  0.000  0.000  0.500
N  0.000  0.500  0.000

Results
Total moment ... 1.71 μB per atom


b:
## CaTcSeN2 (PBE)

Data for a relaxed structure of CaTcSeN2.

Unit cell a=3.865 b=8.086 c=3.865 alpha=90.00 beta=90.00 gamma=90.00
Sites, in units of the cell vectors:
Tc  0.000  0.000  0.000
Se  0.500  0.500  0.500
N  0.500  0.000  0.000
Ca  0.000  0.500  0.000
N  0.000  0.000  0.500

Results
Total moment ... 0.22 μB per atom


Least stable structure: a